A plane-wave DFT calculation with PBE was carried out for a relaxed Dy2Y9Sc crystal.

Properties
The value obtained for the density of states at the Fermi level is 18.297 states/eV/f.u. The total energy is -73.31 eV/cell. Its magnetic moment is 0.00 μB/cell.

abc: 5.014 5.014 15.014
angles: 90.00 90.00 90.00
Space group P4/mmm (No. 123)
Inequivalent atoms, fractional coordinates:
1 Dy 0.000 0.000 0.168 x2
2 Y 0.000 0.500 0.000 x2
3 Y 0.000 0.500 0.338 x4
4 Y 0.500 0.500 0.169 x2
5 Y 0.500 0.500 0.500 x1
6 Sc 0.000 0.000 0.500 x1